No. 1
Material: Tb5GaS5
Method: DFT, PBE
State: relaxed

Cell: 6.912 6.912 7.997 Å, 106.84 106.84 47.88°
Atoms (fractional coordinates):
Tb: 0.000 0.000 0.000
Tb: 0.333 0.333 0.661
Tb: 0.338 0.338 0.177
Tb: 0.662 0.662 0.823
Tb: 0.667 0.667 0.339
Ga: 0.500 0.500 0.000
S: 0.172 0.172 0.332
S: 0.173 0.173 0.842
S: 0.500 0.500 0.500
S: 0.827 0.827 0.158
S: 0.828 0.828 0.668

Energy relative to the elements, uncorrected, eV/atom: -1.77
Space group: C2/m
Density, g/cm³: 6.3

---

No. 2
Material: Gd2MgRu
Method: DFT, PBE
State: relaxed

Cell: 5.147 5.147 5.147 Å, 58.27 58.27 58.27°
Atoms (fractional coordinates):
Gd: 0.246 0.246 0.246
Gd: 0.754 0.754 0.754
Mg: 0.000 0.000 0.000
Ru: 0.500 0.500 0.500

Space group: R-3m
Final energy, eV per atom: -9.91
Density, g/cm³: 7.9

---

No. 3
Material: ScHgB
Method: DFT, PBE
State: relaxed

Cell: 9.442 3.186 7.580 Å, 90.00 90.00 90.00°
Atoms (fractional coordinates):
Sc: 0.014 0.250 0.196
Sc: 0.486 0.750 0.696
Sc: 0.514 0.250 0.304
Sc: 0.986 0.750 0.804
Hg: 0.239 0.250 0.898
Hg: 0.261 0.750 0.398
Hg: 0.739 0.250 0.602
Hg: 0.761 0.750 0.102
B: 0.000 0.000 0.500
B: 0.000 0.500 0.500
B: 0.500 0.000 0.000
B: 0.500 0.500 0.000

Space group: Pnma
Density, g/cm³: 7.5
Energy above the lowest structure with this stoichiometry, meV per atom: 484